No. 1
The following is a PBE-GGA calculation of a relaxed structure of Mg2CrCl, from Alexandria.

The density of states at the Fermi level comes out at 3.36 states/eV per cell. The formation energy from raw total energies is 0.1824 eV/atom. The energy above the lowest structure with this stoichiometry is 38.3 kJ/mol of atoms. The crystal system is tetragonal.

It has space group I4/mmm (No. 139), with a = 4.185 Å, b = 4.185 Å, c = 9.667 Å, α = 90.00°, β = 90.00° and γ = 90.00°. The inequivalent atoms are Mg at (0.000, 0.500, 0.250), Cr at (0.000, 0.000, 0.000) and Cl at (0.000, 0.000, 0.500).

---

No. 2
The following is a PBE-GGA calculation of a relaxed structure of Mg2CrCl, from Alexandria.

The density of states at the Fermi level comes out at 3.83 states/eV per cell. The formation energy from raw total energies is -0.0047 eV/atom. The energy above the lowest structure with this stoichiometry is 20.3 kJ/mol of atoms. The crystal system is orthorhombic.

It has space group Cmm2 (No. 35), with a = 3.530 Å, b = 5.438 Å, c = 8.714 Å, α = 90.00°, β = 90.00° and γ = 90.00°. The inequivalent atoms are Mg at (0.000, 0.000, 0.000), Mg at (0.000, 0.500, 0.283), Cr at (0.000, 0.500, 0.746) and Cl at (0.000, 0.000, 0.509).

---

No. 3
The following is a PBE-GGA calculation of a relaxed structure of MgCrCl2, from Alexandria.

The density of states at the Fermi level comes out at 3.60 states/eV per cell. The formation energy from raw total energies is -0.5673 eV/atom. The energy above the lowest structure with this stoichiometry is 7.2 kJ/mol of atoms. The crystal system is tetragonal.

It has space group P4mm (No. 99), with a = 3.237 Å, b = 3.237 Å, c = 8.570 Å, α = 90.00°, β = 90.00° and γ = 90.00°. The inequivalent atoms are Mg at (0.000, 0.000, 0.000), Cr at (0.500, 0.500, 0.733), Cl at (0.000, 0.000, 0.575) and Cl at (0.500, 0.500, 0.156).

---

No. 4
The following is a PBE-GGA calculation of a relaxed structure of MgCrCl2, from Alexandria.

The density of states at the Fermi level comes out at 4.00 states/eV per cell. The formation energy from raw total energies is -0.3163 eV/atom. The energy above the lowest structure with this stoichiometry is 31.4 kJ/mol of atoms. The crystal system is tetragonal.

It has space group I-4m2 (No. 119), with a = 3.806 Å, b = 3.806 Å, c = 12.567 Å, α = 90.00°, β = 90.00° and γ = 90.00°. The inequivalent atoms are Mg at (0.000, 0.000, 0.000), Cr at (0.000, 0.500, 0.250), Cl at (0.000, 0.000, 0.500) and Cl at (0.000, 0.500, 0.750).

---

No. 5
The following is a PBE-GGA calculation of a relaxed structure of MgCrCl2, from Alexandria.

The density of states at the Fermi level comes out at 12.10 states/eV per cell. The formation energy from raw total energies is 0.0417 eV/atom. The energy above the lowest structure with this stoichiometry is 66.0 kJ/mol of atoms. The crystal system is cubic.

It has space group F-43m (No. 216), with a = 6.986 Å, b = 6.986 Å, c = 6.986 Å, α = 90.00°, β = 90.00° and γ = 90.00°. The inequivalent atoms are Mg at (0.000, 0.000, 0.000), Cr at (0.250, 0.250, 0.750), Cl at (0.000, 0.000, 0.500) and Cl at (0.250, 0.250, 0.250).

---

No. 6
The following is a PBE-GGA calculation of a relaxed structure of Mg2CrCl, from Alexandria.

The density of states at the Fermi level comes out at 3.36 states/eV per cell. The formation energy from raw total energies is 0.1141 eV/atom. The energy above the lowest structure with this stoichiometry is 31.7 kJ/mol of atoms. The crystal system is tetragonal.

It has space group I-4m2 (No. 119), with a = 4.045 Å, b = 4.045 Å, c = 10.477 Å, α = 90.00°, β = 90.00° and γ = 90.00°. The inequivalent atoms are Mg at (0.000, 0.000, 0.000), Mg at (0.000, 0.500, 0.250), Cr at (0.000, 0.000, 0.500) and Cl at (0.000, 0.500, 0.750).

---

No. 7
The following is a PBE-GGA calculation of a relaxed structure of MgCrCl2, from Alexandria.

The density of states at the Fermi level comes out at 15.37 states/eV per cell. The formation energy from raw total energies is -0.4971 eV/atom. The energy above the lowest structure with this stoichiometry is 14.0 kJ/mol of atoms. The crystal system is trigonal.

It has space group R-3m (No. 166, hexagonal axes), with a = 3.5139 Å, b = 3.5139 Å, c = 27.9766 Å, α = 90.00°, β = 90.00° and γ = 120.00°. The inequivalent atoms are Mg at (0.0000, 0.0000, 0.0000), Cr at (0.0000, 0.0000, 0.5000) and Cl at (0.0000, 0.0000, 0.2200).

---

No. 8
The following is a PBE-GGA calculation of a relaxed structure of Mg2CrCl, from Alexandria.

The density of states at the Fermi level comes out at 8.00 states/eV per cell. The formation energy from raw total energies is 0.3249 eV/atom. The energy above the lowest structure with this stoichiometry is 52.1 kJ/mol of atoms. The crystal system is cubic.

It has space group Fm-3m (No. 225), with a = 7.153 Å, b = 7.153 Å, c = 7.153 Å, α = 90.00°, β = 90.00° and γ = 90.00°. The inequivalent atoms are Mg at (0.250, 0.250, 0.250), Cr at (0.000, 0.000, 0.000) and Cl at (0.000, 0.000, 0.500).

---

energy above the lowest structure with this stoichiometry of number 8 (Mg2CrCl)? 52.1 kJ/mol of atoms